A relaxed structure of Ba2HO. Source: the Alexandria database, functional PBE-GGA.

abc: 3.9718 3.9718 20.1869
angles: 90.00 90.00 120.00
Space group R-3m (No. 166, hexagonal axes)
Unique sites:
Ba 0.0000 0.0000 0.2426 [6 per cell]
H 0.0000 0.0000 0.0000 [3 per cell]
O 0.0000 0.0000 0.5000 [3 per cell]

A relaxed structure of BaH3O. Source: the Alexandria database, functional PBE-GGA.

abc: 3.8079 3.8079 3.8079
angles: 90.00 90.00 90.00
Space group Pm-3m (No. 221)
Unique sites:
Ba 0.0000 0.0000 0.0000 [1 per cell]
H 0.0000 0.5000 0.5000 [3 per cell]
O 0.5000 0.5000 0.5000 [1 per cell]

A relaxed structure of BaH4O6. Source: the Alexandria database, functional PBE-GGA.

abc: 6.0076 6.1898 6.8222
angles: 95.85 92.48 93.51
Space group P1 (No. 1)
Unique sites:
Ba 0.0000 0.0000 0.0000 [1 per cell]
Ba 0.2533 0.5850 0.4463 [1 per cell]
H 0.0052 0.4482 0.9058 [1 per cell]
H 0.1560 0.1369 0.5669 [1 per cell]
H 0.4604 0.7316 0.9774 [1 per cell]
H 0.4726 0.0603 0.2843 [1 per cell]
H 0.6506 0.8670 0.7061 [1 per cell]
H 0.7437 0.8323 0.3961 [1 per cell]
H 0.7491 0.5255 0.1707 [1 per cell]
H 0.8016 0.4379 0.6247 [1 per cell]
O 0.0426 0.5494 0.0497 [1 per cell]
O 0.1689 0.0079 0.3726 [1 per cell]
O 0.1796 0.2456 0.6974 [1 per cell]
O 0.3381 0.1506 0.2837 [1 per cell]
O 0.3823 0.7859 0.8506 [1 per cell]
O 0.5504 0.9532 0.8008 [1 per cell]
O 0.5659 0.6738 0.1630 [1 per cell]
O 0.6698 0.8824 0.2653 [1 per cell]
O 0.6960 0.5374 0.5596 [1 per cell]
O 0.8291 0.7492 0.5800 [1 per cell]
O 0.8916 0.4327 0.1755 [1 per cell]
O 0.9506 0.3068 0.7458 [1 per cell]

A relaxed structure of Ba2HO. Source: the Alexandria database, functional PBE-GGA.

abc: 6.4967 6.4967 11.0697
angles: 90.00 90.00 90.00
Space group I-42d (No. 122)
Unique sites:
Ba 0.2231 0.2500 0.1250 [8 per cell]
H 0.0000 0.0000 0.5000 [4 per cell]
O 0.0000 0.0000 0.0000 [4 per cell]

A relaxed structure of BaHO2. Source: the Alexandria database, functional PBE-GGA.

abc: 4.2581 4.2581 14.0607
angles: 90.00 90.00 120.00
Space group R-3m (No. 166, hexagonal axes)
Unique sites:
Ba 0.0000 0.0000 0.0000 [3 per cell]
H 0.0000 0.0000 0.5000 [3 per cell]
O 0.0000 0.0000 0.4155 [6 per cell]

A relaxed structure of BaH12O7. Source: the Alexandria database, functional PBE-GGA.

abc: 6.0126 6.0126 16.5263
angles: 90.00 90.00 120.00
Space group R-3 (No. 148, hexagonal axes)
Unique sites:
Ba 0.0000 0.0000 0.0000 [3 per cell]
H 0.0044 0.7304 0.4809 [18 per cell]
H 0.0357 0.5181 0.9800 [18 per cell]
O 0.0000 0.0000 0.5000 [3 per cell]
O 0.0034 0.5652 0.4619 [18 per cell]

A relaxed structure of Ba4H2O3. Source: the Alexandria database, functional PBE-GGA.

abc: 7.5278 13.9760 7.4802
angles: 90.00 90.00 90.00
Space group Cmce (No. 64)
Unique sites:
Ba 0.0000 0.2146 0.0614 [8 per cell]
Ba 0.2500 0.0307 0.7500 [8 per cell]
H 0.0000 0.0923 0.4256 [8 per cell]
O 0.0000 0.0000 0.0000 [4 per cell]
O 0.2500 0.2085 0.7500 [8 per cell]

A relaxed structure of BaHOsO6. Source: the Alexandria database, functional PBE-GGA.

abc: 5.3484 5.4128 5.4192
angles: 87.07 88.95 66.20
Space group P1 (No. 1)
Unique sites:
Ba 0.0000 0.0000 0.0000 [1 per cell]
H 0.5672 0.7978 0.7642 [1 per cell]
Os 0.3581 0.3146 0.5713 [1 per cell]
O 0.1187 0.1734 0.5083 [1 per cell]
O 0.1228 0.4673 0.8552 [1 per cell]
O 0.2358 0.6037 0.3713 [1 per cell]
O 0.5147 0.9694 0.8456 [1 per cell]
O 0.5433 0.4354 0.7910 [1 per cell]
O 0.6448 0.1082 0.4034 [1 per cell]

In order of appearance, spin magnetization = 0.0; 0.0; 0.0; 1.0; 1.0; 0.1; 0.0; 1.0 μB per formula unit.
In order of appearance, total energy = -52.428; -16.044; -110.594; -69.374; -63.645; -262.359; -181.142; -57.934 eV per cell.